VASP calculation (PBE-GGA) on an optimized crystal structure of Zr2TlCl.

a = 3.265 Å, b = 5.634 Å, c = 5.021 Å
α = 90.00°, β = 90.00°, γ = 90.00°
Positions (direct):
Zr1 0.000 0.000 0.000
Cl1 0.500 0.000 0.500
Zr2 0.500 0.500 0.000
Tl1 0.000 0.500 0.500

## Properties
For the total magnetization, the calculation gives 0.00 μB per formula unit. Its formation energy without anion corrections is -0.100 eV per atom. The energy above the lowest structure with this stoichiometry comes out at 445 meV/atom. The space group is Pmmm, No. 47.